# MgTlCd2

An optimized crystal structure of MgTlCd2 (PBE, Alexandria via LeMat-Bulk).

The space group is P4mm (No. 99) and the conventional cell measures 3.3979, 3.3979 and 8.3595 Å, with angles of 90.00, 90.00 and 90.00 degrees. The asymmetric unit holds Mg at (0.0000, 0.0000, 0.0000), Tl at (0.5000, 0.5000, 0.2656), Cd at (0.0000, 0.0000, 0.5448) and Cd at (0.5000, 0.5000, 0.7793).

The energy above the most stable polymorph in this dataset is 14 meV per atom. The calculation puts the calculated formation energy at -5 meV per atom. The calculation puts the volume at 24.13 A^3/atom.

# Mg3Tl3Cd2

An optimized crystal structure of Mg3Tl3Cd2 (PBE, Alexandria via LeMat-Bulk).

The space group is Immm (No. 71) and the conventional cell measures 4.0040, 4.8546 and 20.3709 Å, with angles of 90.00, 90.00 and 90.00 degrees. The asymmetric unit holds Mg at (0.0000, 0.0000, 0.0000), Mg at (0.0000, 0.5000, 0.1298), Tl at (0.0000, 0.0000, 0.5000), Tl at (0.0000, 0.5000, 0.3743) and Cd at (0.0000, 0.0000, 0.2520).

The calculation puts the calculated formation energy at -17 meV per atom. The calculation puts the volume at 24.75 A^3/atom.

# Mg8Tl3Cd

An optimized crystal structure of Mg8Tl3Cd (PBE, Alexandria via LeMat-Bulk).

The space group is I-42m (No. 121) and the conventional cell measures 7.9348, 7.9348 and 10.5467 Å, with angles of 90.00, 90.00 and 90.00 degrees. The asymmetric unit holds Mg at (0.1328, 0.1328, 0.2651), Mg at (0.2436, 0.2436, 0.5246), Tl at (0.0000, 0.0000, 0.0000), Tl at (0.0000, 0.5000, 0.2500) and Cd at (0.0000, 0.0000, 0.5000).

The energy above the most stable polymorph in this dataset is 184 meV per atom. The calculation puts the calculated formation energy at 171 meV per atom. The calculation puts the volume at 27.67 A^3/atom.

# Mg7TlCd3

An optimized crystal structure of Mg7TlCd3 (PBE, Alexandria via LeMat-Bulk).

The space group is Cmcm (No. 63) and the conventional cell measures 3.2809, 24.1451 and 13.1206 Å, with angles of 90.00, 90.00 and 90.00 degrees. The asymmetric unit holds Mg at (0.0000, 0.0453, 0.0927), Mg at (0.0000, 0.0952, 0.6190), Mg at (0.0000, 0.1864, 0.2500), Mg at (0.0000, 0.2286, 0.5923), Tl at (0.0000, 0.4867, 0.2500), Cd at (0.0000, 0.3251, 0.2500) and Cd at (0.0000, 0.3498, 0.5591).

The energy above the most stable polymorph in this dataset is 0 meV per atom. The calculation puts the calculated formation energy at -11 meV per atom. The calculation puts the volume at 23.62 A^3/atom.

# Mg4Tl3Cd

An optimized crystal structure of Mg4Tl3Cd (PBE, Alexandria via LeMat-Bulk).

The space group is P4/mmm (No. 123) and the conventional cell measures 3.6590, 3.6590 and 14.3256 Å, with angles of 90.00, 90.00 and 90.00 degrees. The asymmetric unit holds Mg at (0.0000, 0.0000, 0.1166), Mg at (0.0000, 0.0000, 0.3719), Tl at (0.5000, 0.5000, 0.2426), Tl at (0.5000, 0.5000, 0.5000) and Cd at (0.5000, 0.5000, 0.0000).

The energy above the most stable polymorph in this dataset is 0 meV per atom. The calculation puts the calculated formation energy at -52 meV per atom. The calculation puts the volume at 23.97 A^3/atom.

# MgTlCd2

An optimized crystal structure of MgTlCd2 (PBE, Alexandria via LeMat-Bulk).

The space group is C2/m (No. 12) and the conventional cell measures 10.7712, 3.5632 and 5.0847 Å, with angles of 90.00, 97.40 and 90.00 degrees. The asymmetric unit holds Mg at (0.0000, 0.0000, 0.0000), Tl at (0.0000, 0.5000, 0.5000) and Cd at (0.2491, 0.5000, 0.2416).

The energy above the most stable polymorph in this dataset is 13 meV per atom. The calculation puts the calculated formation energy at -6 meV per atom. The calculation puts the volume at 24.19 A^3/atom.

# Mg6Tl3Cd2

An optimized crystal structure of Mg6Tl3Cd2 (PBE, Alexandria via LeMat-Bulk).

The space group is I4/mmm (No. 139) and the conventional cell measures 4.3848, 4.3848 and 29.8925 Å, with angles of 90.00, 90.00 and 90.00 degrees. The asymmetric unit holds Mg at (0.0000, 0.0000, 0.2295), Mg at (0.0000, 0.5000, 0.0679), Tl at (0.0000, 0.0000, 0.3332), Tl at (0.0000, 0.0000, 0.5000) and Cd at (0.0000, 0.0000, 0.1340).

The energy above the most stable polymorph in this dataset is 94 meV per atom. The calculation puts the calculated formation energy at 70 meV per atom. The calculation puts the volume at 26.12 A^3/atom.

# MgTlCd2

An optimized crystal structure of MgTlCd2 (PBE, Alexandria via LeMat-Bulk).

The space group is P4/mmm (No. 123) and the conventional cell measures 3.4012, 3.4012 and 8.4235 Å, with angles of 90.00, 90.00 and 90.00 degrees. The asymmetric unit holds Mg at (0.0000, 0.0000, 0.0000), Tl at (0.0000, 0.0000, 0.5000) and Cd at (0.5000, 0.5000, 0.2210).

The energy above the most stable polymorph in this dataset is 0 meV per atom. The calculation puts the calculated formation energy at -19 meV per atom. The calculation puts the volume at 24.36 A^3/atom.

# Mg7TlCd4

An optimized crystal structure of Mg7TlCd4 (PBE, Alexandria via LeMat-Bulk).

The space group is C2/m (No. 12) and the conventional cell measures 13.5934, 5.2932 and 10.3436 Å, with angles of 90.00, 127.05 and 90.00 degrees. The asymmetric unit holds Mg at (0.0000, 0.0000, 0.0000), Mg at (0.0640, 0.5000, 0.3514), Mg at (0.1609, 0.0000, 0.5996), Mg at (0.2177, 0.5000, 0.8662), Tl at (0.0000, 0.5000, 0.0000), Cd at (0.0693, 0.0000, 0.7820) and Cd at (0.1992, 0.0000, 0.3441).

The calculation puts the calculated formation energy at 41 meV per atom. The calculation puts the volume at 24.75 A^3/atom.

# MgTlCd2

An optimized crystal structure of MgTlCd2 (PBE, Alexandria via LeMat-Bulk).

The space group is Imm2 (No. 44) and the conventional cell measures 4.5486, 4.5659 and 9.2604 Å, with angles of 90.00, 90.00 and 90.00 degrees. The asymmetric unit holds Mg at (0.0000, 0.0000, 0.0000), Tl at (0.0000, 0.5000, 0.7497), Cd at (0.0000, 0.0000, 0.4997) and Cd at (0.0000, 0.5000, 0.2499).

The energy above the most stable polymorph in this dataset is 22 meV per atom. The calculation puts the calculated formation energy at 3 meV per atom. The calculation puts the volume at 24.04 A^3/atom.

# MgTlCd2

An optimized crystal structure of MgTlCd2 (PBE, Alexandria via LeMat-Bulk).

The space group is C2/m (No. 12) and the conventional cell measures 6.1821, 9.3537 and 3.3691 Å, with angles of 90.00, 90.50 and 90.00 degrees. The asymmetric unit holds Mg at (0.0000, 0.0000, 0.0000), Tl at (0.0000, 0.5000, 0.0000) and Cd at (0.2500, 0.2500, 0.5000).

The energy above the most stable polymorph in this dataset is 14 meV per atom. The calculation puts the calculated formation energy at -6 meV per atom. The calculation puts the volume at 24.35 A^3/atom.

# Mg2Tl4Cd

An optimized crystal structure of Mg2Tl4Cd (PBE, Alexandria via LeMat-Bulk).

The space group is I4/mmm (No. 139) and the conventional cell measures 7.4923, 7.4923 and 7.0091 Å, with angles of 90.00, 90.00 and 90.00 degrees. The asymmetric unit holds Mg at (0.0000, 0.5000, 0.0000), Tl at (0.2500, 0.2500, 0.2500) and Cd at (0.0000, 0.0000, 0.0000).

The calculation puts the calculated formation energy at 55 meV per atom. The calculation puts the volume at 28.10 A^3/atom.

# Mg5Tl6Cd2

An optimized crystal structure of Mg5Tl6Cd2 (PBE, Alexandria via LeMat-Bulk).

The space group is Pbam (No. 55) and the conventional cell measures 10.0885, 19.4564 and 3.4133 Å, with angles of 90.00, 90.00 and 90.00 degrees. The asymmetric unit holds Mg at (0.0000, 0.0000, 0.0000), Mg at (0.0883, 0.2515, 0.0000), Mg at (0.1679, 0.5086, 0.0000), Tl at (0.0200, 0.3920, 0.5000), Tl at (0.1497, 0.1112, 0.5000), Tl at (0.1703, 0.8737, 0.0000) and Cd at (0.1612, 0.7368, 0.5000).

The calculation puts the calculated formation energy at -9 meV per atom. The calculation puts the volume at 25.77 A^3/atom.

# MgTlCd17

An optimized crystal structure of MgTlCd17 (PBE, Alexandria via LeMat-Bulk).

The space group is R3m (No. 160, hexagonal axes) and the conventional cell measures 9.9756, 9.9756 and 15.8949 Å, with angles of 90.00, 90.00 and 120.00 degrees. The asymmetric unit holds Mg at (0.0000, 0.0000, 0.0000), Tl at (0.0000, 0.0000, 0.6481), Cd at (0.0000, 0.0000, 0.1987), Cd at (0.0000, 0.0000, 0.3820), Cd at (0.0313, 0.3635, 0.9724), Cd at (0.1835, 0.3669, 0.7764), Cd at (0.1928, 0.3855, 0.1490) and Cd at (0.2208, 0.4416, 0.5038).

The calculation puts the calculated formation energy at 30 meV per atom. The calculation puts the volume at 24.03 A^3/atom.

# Mg2TlCd8

An optimized crystal structure of Mg2TlCd8 (PBE, Alexandria via LeMat-Bulk).

The space group is C2/m (No. 12) and the conventional cell measures 9.1525, 12.2963 and 4.9673 Å, with angles of 90.00, 110.80 and 90.00 degrees. The asymmetric unit holds Mg at (0.0000, 0.1387, 0.0000), Tl at (0.0000, 0.0000, 0.5000), Cd at (0.0000, 0.2859, 0.5000), Cd at (0.1847, 0.5000, 0.6595) and Cd at (0.1942, 0.3508, 0.1520).

The calculation puts the calculated formation energy at 10 meV per atom. The calculation puts the volume at 23.75 A^3/atom.

# Mg4Tl7Cd

An optimized crystal structure of Mg4Tl7Cd (PBE, Alexandria via LeMat-Bulk).

The space group is P-1 (No. 2) and the conventional cell measures 5.1938, 5.3115 and 13.3324 Å, with angles of 87.01, 89.99 and 60.86 degrees. The asymmetric unit holds Mg at (0.1625, 0.1800, 0.1675), Mg at (0.1654, 0.1758, 0.4142), Tl at (0.1697, 0.1584, 0.9188), Tl at (0.1706, 0.1527, 0.6542), Tl at (0.4954, 0.5141, 0.2422), Tl at (0.5000, 0.5000, 0.5000) and Cd at (0.5000, 0.5000, 0.0000).

The energy above the most stable polymorph in this dataset is 0 meV per atom. The calculation puts the calculated formation energy at 27 meV per atom. The calculation puts the volume at 26.72 A^3/atom.

# Mg2TlCd9

An optimized crystal structure of Mg2TlCd9 (PBE, Alexandria via LeMat-Bulk).

The space group is P6/mmm (No. 191) and the conventional cell measures 10.2161, 10.2161 and 3.1462 Å, with angles of 90.00, 90.00 and 120.00 degrees. The asymmetric unit holds Mg at (0.3333, 0.6667, 0.0000), Tl at (0.0000, 0.0000, 0.0000), Cd at (0.0000, 0.5000, 0.0000) and Cd at (0.1779, 0.3559, 0.5000).

The energy above the most stable polymorph in this dataset is 38 meV per atom. The calculation puts the calculated formation energy at 23 meV per atom. The calculation puts the volume at 23.70 A^3/atom.

# Mg6TlCd3

An optimized crystal structure of Mg6TlCd3 (PBE, Alexandria via LeMat-Bulk).

The space group is P2_1/m (No. 11) and the conventional cell measures 8.4505, 5.0775 and 11.2143 Å, with angles of 90.00, 110.73 and 90.00 degrees. The asymmetric unit holds Mg at (0.0153, 0.2500, 0.4186), Mg at (0.1983, 0.7500, 0.8867), Mg at (0.2058, 0.2500, 0.2034), Mg at (0.2122, 0.7500, 0.3717), Mg at (0.3869, 0.7500, 0.6705), Mg at (0.4205, 0.7500, 0.1825), Tl at (0.1859, 0.2500, 0.7144), Cd at (0.0166, 0.7500, 0.0837), Cd at (0.3963, 0.2500, 0.5056) and Cd at (0.4116, 0.2500, 0.0295).

The energy above the most stable polymorph in this dataset is 9 meV per atom. The calculation puts the calculated formation energy at -60 meV per atom. The calculation puts the volume at 22.50 A^3/atom.

# Mg12TlCd3

An optimized crystal structure of Mg12TlCd3 (PBE, Alexandria via LeMat-Bulk).

The space group is P4/mmm (No. 123) and the conventional cell measures 4.5467, 4.5467 and 17.3063 Å, with angles of 90.00, 90.00 and 90.00 degrees. The asymmetric unit holds Mg at (0.0000, 0.0000, 0.0000), Mg at (0.0000, 0.0000, 0.2456), Mg at (0.0000, 0.0000, 0.5000), Mg at (0.0000, 0.5000, 0.1223), Mg at (0.0000, 0.5000, 0.3689), Tl at (0.5000, 0.5000, 0.5000), Cd at (0.5000, 0.5000, 0.0000) and Cd at (0.5000, 0.5000, 0.2463).

The calculation puts the calculated formation energy at -58 meV per atom. The calculation puts the volume at 22.36 A^3/atom.

# MgTlCd

An optimized crystal structure of MgTlCd (PBE, Alexandria via LeMat-Bulk).

The space group is P1 (No. 1) and the conventional cell measures 3.3712, 3.3887 and 15.1783 Å, with angles of 83.77, 84.18 and 60.30 degrees. The asymmetric unit holds Mg at (0.0000, 0.0000, 0.0000), Mg at (0.1927, 0.1717, 0.4669), Tl at (0.4747, 0.4443, 0.6383), Tl at (0.7229, 0.7245, 0.8286), Cd at (0.2897, 0.2799, 0.1546) and Cd at (0.9087, 0.8888, 0.3124).

The energy above the most stable polymorph in this dataset is 0 meV per atom. The calculation puts the calculated formation energy at -9 meV per atom. The calculation puts the volume at 24.92 A^3/atom.

# Mg6TlCd3

An optimized crystal structure of Mg6TlCd3 (PBE, Alexandria via LeMat-Bulk).

The space group is P2_1/m (No. 11) and the conventional cell measures 8.4484, 5.1484 and 11.0418 Å, with angles of 90.00, 110.96 and 90.00 degrees. The asymmetric unit holds Mg at (0.0104, 0.2500, 0.1731), Mg at (0.0123, 0.2500, 0.6700), Mg at (0.1988, 0.7500, 0.6255), Mg at (0.2083, 0.2500, 0.9781), Mg at (0.3910, 0.7500, 0.4318), Mg at (0.4201, 0.2500, 0.7690), Tl at (0.3795, 0.7500, 0.9195), Cd at (0.1826, 0.7500, 0.1366), Cd at (0.1973, 0.2500, 0.4720) and Cd at (0.3977, 0.2500, 0.2781).

The energy above the most stable polymorph in this dataset is 0 meV per atom. The calculation puts the calculated formation energy at -69 meV per atom. The calculation puts the volume at 22.43 A^3/atom.